{"formula": "CuAu3", "functional": "SCAN", "state": "single point on PBEsol structure", "lattice_angstrom": [[2.7962, -3.9702, 0.0000], [2.7962, 3.9702, 0.0000], [0.0000, 0.0000, 2.8406]], "species": ["Cu", "Au", "Au", "Au"], "fractional_positions": [[0.0000, 0.0000, 0.0000], [0.0000, 0.5000, 0.5000], [0.5000, 0.0000, 0.5000], [0.5000, 0.5000, 0.0000]], "delta_e_f_mev_per_atom": -2.6, "spacegroup": "Cmmm", "magnetic_moment_mub_per_fu": 0.0}